{"formula": "BaGe2Rh2", "functional": "PBE-GGA", "state": "optimized geometry", "e_tot_ev_per_atom": -5.3998, "formation_enthalpy_0k_kcal_per_mol_atoms": -5.25, "magmom_total_mub_per_atom": 0.0000, "crystal_system": "tetragonal", "dos_ef_per_ev_cell": 10.0, "vol_a3_per_cell": 199.47, "lattice": [[7.938, 0.000, 0.000], [0.000, 7.938, 0.000], [0.000, 0.000, 3.165]], "species": ["Ba", "Ba", "Ge", "Ge", "Ge", "Ge", "Rh", "Rh", "Rh", "Rh"], "frac_coords": [[0.000, 0.000, 0.000], [0.500, 0.500, 0.000], [0.133, 0.367, 0.500], [0.367, 0.867, 0.500], [0.633, 0.133, 0.500], [0.867, 0.633, 0.500], [0.128, 0.628, 0.000], [0.372, 0.128, 0.000], [0.628, 0.872, 0.000], [0.872, 0.372, 0.000]]}